## A
Compound: CsCaPb3
Source: Alexandria
Functional: PBE
Structure: optimized geometry

Values from the calculation:
SG = Pm-3m
Calculated density = 5.4 g cm⁻³

POSCAR file:
```
CsCaPb3
1.0
6.257 0.000 0.000
0.000 6.257 0.000
0.000 0.000 6.257
Pb Ca Cs
3 1 1
direct
0.000 0.500 0.000 Pb
0.500 0.000 0.000 Pb
0.000 0.000 0.500 Pb
0.500 0.500 0.500 Ca
0.000 0.000 0.000 Cs
```

## B
Compound: CsCaPb3
Source: Alexandria
Functional: PBE
Structure: optimized geometry

Values from the calculation:
SG = Pm-3m
Calculated density = 5.9 g cm⁻³

POSCAR file:
```
CsCaPb3
1.0
-5.317 -0.850 -2.810
0.727 -6.014 0.443
-2.844 0.051 5.366
Pb Ca Cs
3 1 1
direct
0.000 0.500 0.000 Pb
0.500 0.000 0.000 Pb
0.000 0.000 0.500 Pb
0.000 0.000 0.000 Ca
0.500 0.500 0.500 Cs
```

The computed energies, referenced to the most stable structure and given in meV per atom, are A 761; B 0.

## A
Compound: CsCa3Pd
Source: Alexandria
Functional: PBE
Structure: optimized geometry

Values from the calculation:
SG = Pm-3m
Calculated density = 3.2 g cm⁻³

POSCAR file:
```
CsCa3Pd
1.0
-3.683 -2.847 3.329
4.126 -3.714 1.389
1.470 3.294 4.443
Cs Ca Pd
1 3 1
direct
0.000 0.000 0.000 Cs
0.500 0.000 0.000 Ca
0.000 0.000 0.500 Ca
0.000 0.500 0.000 Ca
0.500 0.500 0.500 Pd
```

## B
Compound: CsCa3Pd
Source: Alexandria
Functional: PBE
Structure: optimized geometry

Values from the calculation:
SG = Pm-3m
Calculated density = 2.9 g cm⁻³

POSCAR file:
```
CsCa3Pd
1.0
5.897 0.000 0.000
0.000 5.897 0.000
0.000 0.000 5.897
Ca Pd Cs
3 1 1
direct
0.500 0.000 0.000 Ca
0.000 0.500 0.000 Ca
0.000 0.000 0.500 Ca
0.000 0.000 0.000 Pd
0.500 0.500 0.500 Cs
```

The computed energies, referenced to the most stable structure and given in meV per atom, are A 1503; B 0.

## A
Compound: CsCa3Pt
Source: Alexandria
Functional: PBE
Structure: optimized geometry

Values from the calculation:
SG = Pm-3m
Calculated density = 4.3 g cm⁻³

POSCAR file:
```
CsCa3Pt
1.0
5.591 0.000 0.000
0.000 5.591 0.000
0.000 0.000 5.591
Ca Pt Cs
3 1 1
direct
0.000 0.000 0.500 Ca
0.500 0.000 0.000 Ca
0.000 0.500 0.000 Ca
0.500 0.500 0.500 Pt
0.000 0.000 0.000 Cs
```

## B
Compound: CsCa3Pt
Source: Alexandria
Functional: PBE
Structure: optimized geometry

Values from the calculation:
SG = Pm-3m
Calculated density = 3.7 g cm⁻³

POSCAR file:
```
CsCa3Pt
1.0
-4.538 -1.784 -3.237
2.734 -5.070 -1.038
-2.488 -2.317 4.764
Pt Ca Cs
1 3 1
direct
0.000 0.000 0.000 Pt
0.000 0.500 0.000 Ca
0.500 0.000 0.000 Ca
0.000 0.000 0.500 Ca
0.500 0.500 0.500 Cs
```

The computed energies, referenced to the most stable structure and given in meV per atom, are A 1704; B 0.

## A
Compound: CsCaTl2Pt
Source: Alexandria
Functional: PBE
Structure: optimized geometry

Values from the calculation:
SG = P4/mmm
Calculated density = 6.0 g cm⁻³

POSCAR file:
```
CsCaTl2Pt
1.0
-4.508 -4.267 1.035
3.062 -2.287 3.909
-2.618 3.804 4.276
Tl Pt Cs Ca
2 1 1 1
direct
0.500 0.000 0.000 Tl
0.000 0.000 0.500 Tl
0.000 0.500 0.000 Pt
0.000 0.000 0.000 Cs
0.500 0.500 0.500 Ca
```

## B
Compound: CsCaTl2Pt
Source: Alexandria
Functional: PBE
Structure: optimized geometry

Values from the calculation:
SG = P4/mmm
Calculated density = 7.5 g cm⁻³

POSCAR file:
```
CsCaTl2Pt
1.0
5.530 0.000 0.000
0.000 5.530 0.000
0.000 0.000 5.605
Pt Ca Tl Cs
1 1 2 1
direct
0.000 0.000 0.000 Pt
0.000 0.000 0.500 Ca
0.000 0.500 0.000 Tl
0.500 0.000 0.000 Tl
0.500 0.500 0.500 Cs
```

The computed energies, referenced to the most stable structure and given in meV per atom, are A 1005; B 0.